# SiPd2Cl (PBE, relaxed)
# energy above the most stable polymorph in this dataset: 0 meV/atom
# total magnetic moment: 0.00 μB per formula unit
# DOS at the Fermi energy: 1.015 states/eV/atom
# calculated total energy: -36.375 eV/cell
# raw formation energy: -3.07 kcal/mol of atoms
data_SiPd2Cl
_chemical_formula_sum 'Si2 Pd4 Cl2'
_space_group_name_H-M_alt 'P 1'
_space_group_IT_number 1
_cell_length_a 6.257
_cell_length_b 6.257
_cell_length_c 6.042
_cell_angle_alpha 58.82
_cell_angle_beta 58.82
_cell_angle_gamma 90.00
loop_
_space_group_symop_operation_xyz
'x,y,z'
loop_
_atom_site_label
_atom_site_type_symbol
_atom_site_fract_x
_atom_site_fract_y
_atom_site_fract_z
_atom_site_occupancy
Pd1 Pd 0.375 0.411 0.750 1
Pd2 Pd 0.161 0.625 0.250 1
Pd3 Pd 0.875 0.839 0.750 1
Pd4 Pd 0.589 0.125 0.250 1
Cl1 Cl 0.750 0.250 0.500 1
Cl2 Cl 0.000 0.000 0.000 1
Si1 Si 0.500 0.500 0.000 1
Si2 Si 0.250 0.750 0.500 1

# RbNaReAs2 (PBE, relaxed)
# ΔH_f (0 K): 1.537 eV per atom
# total magnetic moment: 4.17 μB per formula unit
# DOS at the Fermi energy: 1.067 states/eV/atom
# calculated total energy: -16.348 eV/cell
data_RbNaReAs2
_chemical_formula_sum 'Rb1 Na1 Re1 As2'
_space_group_name_H-M_alt 'P 1'
_space_group_IT_number 1
_cell_length_a 5.289
_cell_length_b 5.308
_cell_length_c 5.289
_cell_angle_alpha 90.00
_cell_angle_beta 90.00
_cell_angle_gamma 90.00
loop_
_space_group_symop_operation_xyz
'x,y,z'
loop_
_atom_site_label
_atom_site_type_symbol
_atom_site_fract_x
_atom_site_fract_y
_atom_site_fract_z
_atom_site_occupancy
Rb1 Rb 0.500 0.500 0.500 1
Na1 Na 0.000 0.000 0.000 1
As1 As 0.000 0.000 0.500 1
As2 As 0.500 0.000 0.000 1
Re1 Re 0.000 0.500 0.000 1

# LaPbCl2 (PBE, relaxed)
# energy above the most stable polymorph in this dataset: 121 meV/atom
# total magnetic moment: 0.00 μB per formula unit
# DOS at the Fermi energy: 0.401 states/eV/atom
# calculated total energy: -17.272 eV/cell
# raw formation energy: -28.49 kcal/mol of atoms
data_LaPbCl2
_chemical_formula_sum 'La1 Pb1 Cl2'
_space_group_name_H-M_alt 'P 1'
_space_group_IT_number 1
_cell_length_a 6.890
_cell_length_b 6.890
_cell_length_c 6.890
_cell_angle_alpha 148.52
_cell_angle_beta 139.10
_cell_angle_gamma 52.51
loop_
_space_group_symop_operation_xyz
'x,y,z'
loop_
_atom_site_label
_atom_site_type_symbol
_atom_site_fract_x
_atom_site_fract_y
_atom_site_fract_z
_atom_site_occupancy
Cl1 Cl 0.291 0.791 0.500 1
Cl2 Cl 0.011 0.011 0.000 1
Pb1 Pb 0.725 0.225 0.500 1
La1 La 0.473 0.473 0.000 1